{
  "formula": "MnIr5",
  "functional": "SCAN",
  "state": "PBEsol geometry",
  "formation_energy_ev_per_atom": -0.1439,
  "lattice": [[9.840, 0.000, 0.000], [0.000, 2.714, 0.000], [-1.601, 0.000, 6.162]],
  "species": ["Mn", "Mn", "Ir", "Ir", "Ir", "Ir", "Ir", "Ir", "Ir", "Ir", "Ir", "Ir"],
  "fractional_positions": [[0.000, 0.000, 0.000], [0.500, 0.500, 0.000], [0.110, 0.500, 0.725], [0.163, 0.500, 0.322], [0.280, 0.000, 0.051], [0.336, 0.000, 0.670], [0.444, 0.500, 0.384], [0.610, 0.000, 0.725], [0.663, 0.000, 0.322], [0.780, 0.500, 0.051], [0.836, 0.500, 0.670], [0.944, 0.000, 0.384]]
}

***

{
  "formula": "MnIr",
  "functional": "SCAN",
  "state": "PBEsol geometry",
  "formation_energy_ev_per_atom": -0.2738,
  "lattice": [[9.372, 0.000, 0.000], [0.000, 2.633, 0.000], [-1.495, 0.000, 5.965]],
  "species": ["Mn", "Mn", "Mn", "Mn", "Mn", "Mn", "Ir", "Ir", "Ir", "Ir", "Ir", "Ir"],
  "fractional_positions": [[0.000, 0.000, 0.000], [0.060, 0.000, 0.606], [0.392, 0.000, 0.272], [0.500, 0.500, 0.000], [0.560, 0.500, 0.606], [0.892, 0.500, 0.272], [0.162, 0.500, 0.329], [0.221, 0.500, 0.941], [0.346, 0.000, 0.663], [0.662, 0.000, 0.329], [0.721, 0.000, 0.941], [0.846, 0.500, 0.663]]
}

***

{
  "formula": "MnIr5",
  "functional": "SCAN",
  "state": "PBEsol geometry",
  "formation_energy_ev_per_atom": -0.1310,
  "lattice": [[4.320, 0.000, 0.000], [0.000, 2.712, 0.000], [0.000, 0.000, 14.001]],
  "species": ["Mn", "Mn", "Ir", "Ir", "Ir", "Ir", "Ir", "Ir", "Ir", "Ir", "Ir", "Ir"],
  "fractional_positions": [[0.000, 0.000, 0.000], [0.000, 0.500, 0.500], [0.000, 0.000, 0.339], [0.000, 0.000, 0.664], [0.000, 0.500, 0.164], [0.000, 0.500, 0.839], [0.500, 0.000, 0.223], [0.500, 0.000, 0.554], [0.500, 0.000, 0.892], [0.500, 0.500, 0.054], [0.500, 0.500, 0.392], [0.500, 0.500, 0.723]]
}

***

{
  "formula": "MnIr",
  "functional": "SCAN",
  "state": "PBEsol geometry",
  "formation_energy_ev_per_atom": -0.1302,
  "lattice": [[9.341, 0.000, 0.000], [0.000, 2.634, 0.000], [-2.070, 0.000, 3.987]],
  "species": ["Mn", "Mn", "Mn", "Mn", "Ir", "Ir", "Ir", "Ir"],
  "fractional_positions": [[0.130, 0.000, 0.298], [0.370, 0.500, 0.702], [0.630, 0.500, 0.298], [0.870, 0.000, 0.702], [0.120, 0.500, 0.794], [0.380, 0.000, 0.206], [0.620, 0.000, 0.794], [0.880, 0.500, 0.206]]
}

***

{
  "formula": "MnIr2",
  "functional": "SCAN",
  "state": "PBEsol geometry",
  "formation_energy_ev_per_atom": -0.1165,
  "lattice": [[9.604, 0.000, 0.000], [0.000, 2.664, 0.000], [-1.498, 0.000, 6.039]],
  "species": ["Mn", "Mn", "Mn", "Mn", "Ir", "Ir", "Ir", "Ir", "Ir", "Ir", "Ir", "Ir"],
  "fractional_positions": [[0.029, 0.000, 0.310], [0.471, 0.500, 0.690], [0.529, 0.500, 0.310], [0.971, 0.000, 0.690], [0.135, 0.500, 0.030], [0.185, 0.500, 0.631], [0.315, 0.000, 0.369], [0.365, 0.000, 0.970], [0.635, 0.000, 0.030], [0.685, 0.000, 0.631], [0.815, 0.500, 0.369], [0.865, 0.500, 0.970]]
}

***

{
  "formula": "MnIr2",
  "functional": "SCAN",
  "state": "PBEsol geometry",
  "formation_energy_ev_per_atom": -0.2160,
  "lattice": [[4.617, 0.000, 0.000], [0.000, 4.200, 0.000], [0.000, 0.000, 7.971]],
  "species": ["Mn", "Mn", "Mn", "Mn", "Ir", "Ir", "Ir", "Ir", "Ir", "Ir", "Ir", "Ir"],
  "fractional_positions": [[0.169, 0.250, 0.168], [0.331, 0.750, 0.668], [0.669, 0.250, 0.332], [0.831, 0.750, 0.832], [0.157, 0.250, 0.830], [0.171, 0.250, 0.495], [0.329, 0.750, 0.995], [0.343, 0.750, 0.330], [0.657, 0.250, 0.670], [0.671, 0.250, 0.005], [0.829, 0.750, 0.505], [0.843, 0.750, 0.170]]
}

***

{
  "formula": "MnIr2",
  "functional": "SCAN",
  "state": "PBEsol geometry",
  "formation_energy_ev_per_atom": -0.2196,
  "lattice": [[2.669, 0.000, 0.000], [0.000, 13.758, 0.000], [0.000, 0.000, 4.218]],
  "species": ["Mn", "Mn", "Mn", "Mn", "Ir", "Ir", "Ir", "Ir", "Ir", "Ir", "Ir", "Ir"],
  "fractional_positions": [[0.000, 0.110, 0.250], [0.000, 0.890, 0.750], [0.500, 0.390, 0.750], [0.500, 0.610, 0.250], [0.000, 0.223, 0.750], [0.000, 0.445, 0.250], [0.000, 0.555, 0.750], [0.000, 0.777, 0.250], [0.500, 0.055, 0.750], [0.500, 0.277, 0.250], [0.500, 0.723, 0.750], [0.500, 0.945, 0.250]]
}

***

{
  "formula": "MnIr",
  "functional": "SCAN",
  "state": "PBEsol geometry",
  "formation_energy_ev_per_atom": -0.3178,
  "lattice": [[3.654, 0.000, 0.000], [0.000, 3.654, 0.000], [0.000, 0.000, 7.454]],
  "species": ["Mn", "Mn", "Mn", "Mn", "Ir", "Ir", "Ir", "Ir"],
  "fractional_positions": [[0.000, 0.250, 0.375], [0.000, 0.750, 0.625], [0.500, 0.250, 0.125], [0.500, 0.750, 0.875], [0.000, 0.250, 0.875], [0.000, 0.750, 0.125], [0.500, 0.250, 0.625], [0.500, 0.750, 0.375]]
}

***

{
  "formula": "Mn3Ir",
  "functional": "SCAN",
  "state": "PBEsol geometry",
  "formation_energy_ev_per_atom": -0.4635,
  "lattice": [[3.628, 0.000, 0.000], [0.000, 3.628, 0.000], [0.000, 0.000, 3.605]],
  "species": ["Mn", "Mn", "Mn", "Ir"],
  "fractional_positions": [[0.000, 0.000, 0.000], [0.000, 0.500, 0.500], [0.500, 0.000, 0.500], [0.500, 0.500, 0.000]]
}

***

{
  "formula": "Mn3Ir",
  "functional": "SCAN",
  "state": "PBEsol geometry",
  "formation_energy_ev_per_atom": -0.1382,
  "lattice": [[4.423, 0.000, 0.000], [0.000, 8.079, 0.000], [0.000, 0.000, 5.080]],
  "species": ["Mn", "Mn", "Mn", "Mn", "Mn", "Mn", "Mn", "Mn", "Mn", "Mn", "Mn", "Mn", "Ir", "Ir", "Ir", "Ir"],
  "fractional_positions": [[0.083, 0.250, 0.125], [0.243, 0.504, 0.869], [0.243, 0.996, 0.869], [0.257, 0.004, 0.369], [0.257, 0.496, 0.369], [0.417, 0.750, 0.625], [0.583, 0.250, 0.375], [0.743, 0.504, 0.631], [0.743, 0.996, 0.631], [0.757, 0.004, 0.131], [0.757, 0.496, 0.131], [0.917, 0.750, 0.875], [0.078, 0.250, 0.616], [0.422, 0.750, 0.116], [0.578, 0.250, 0.884], [0.922, 0.750, 0.384]]
}

***

{
  "formula": "MnIr",
  "functional": "SCAN",
  "state": "PBEsol geometry",
  "formation_energy_ev_per_atom": -0.3304,
  "lattice": [[2.624, 0.000, 0.000], [0.000, 2.624, 0.000], [0.000, 0.000, 3.611]],
  "species": ["Mn", "Ir"],
  "fractional_positions": [[0.000, 0.000, 0.000], [0.500, 0.500, 0.500]]
}

***

{
  "formula": "MnIr",
  "functional": "SCAN",
  "state": "PBEsol geometry",
  "formation_energy_ev_per_atom": 0.1359,
  "lattice": [[2.861, 0.000, 0.000], [0.000, 2.861, 0.000], [0.000, 0.000, 6.063]],
  "species": ["Mn", "Mn", "Ir", "Ir"],
  "fractional_positions": [[0.250, 0.250, 0.080], [0.750, 0.750, 0.920], [0.250, 0.250, 0.656], [0.750, 0.750, 0.344]]
}